[1]
VASP calculation (PBE) on a geometry-optimized Cu3AgCl6 structure.

Lattice parameters (Å, degrees): 6.6654 7.1609 7.3010 119.35 112.85 90.02
Last column: nearest neighbours and their distance in Å.
Space group P-1 (No. 2)
Unique sites:
Cu (0.0000, 0.0000, 0.0000) [1 per cell]  4 Cl 2.29-2.38
Cu (0.0000, 0.0000, 0.5000) [1 per cell]  4 Cl 2.36
Cu (0.0000, 0.5000, 0.0000) [1 per cell]  4 Cl 2.29-2.38
Ag (0.5000, 0.5000, 0.5000) [1 per cell]  6 Cl 2.66-2.89
Cl (0.1903, 0.7143, 0.4003) [2 per cell]  2 Cu 2.29-2.36
Cl (0.1945, 0.1821, 0.3997) [2 per cell]  2 Cu 2.29-2.36
Cl (0.2345, 0.2482, 0.9963) [2 per cell]  2 Cu 2.38

Output
**DOS at the Fermi energy**: 7.45 states/eV/f.u.
**Uncorrected energy**: -3.06 eV per atom
**Calculated density**: 3.1 g/cm3
**Total magnetic moment**: 1.38 μB per formula unit
**Formation energy from raw total energies**: -0.439 eV per atom
**Distance to the lowest polymorph of the same formula**: 0.000 eV per atom

[2]
VASP calculation (PBE) on a geometry-optimized SmPaIr structure.

Lattice parameters (Å, degrees): 11.7628 4.2598 6.9044 90.00 121.97 90.00
Last column: nearest neighbours and their distance in Å.
Space group Cm (No. 8)
Unique sites:
Sm (0.0000, 0.0000, 0.0000) [2 per cell]  3 Ir 2.91-2.92
Sm (0.1526, 0.5000, 0.8186) [2 per cell]  4 Ir 3.02-3.26, 1 Pa 3.38
Pa (0.2555, 0.5000, 0.4161) [2 per cell]  2 Ir 2.76, 2 Pa 2.89
Pa (0.3711, 0.0000, 0.2925) [2 per cell]  2 Ir 2.71, 2 Pa 2.89
Ir (0.0385, 0.0000, 0.4534) [2 per cell]  2 Pa 2.71, 1 Ir 2.83, 3 Sm 2.92-3.02
Ir (0.3221, 0.0000, 0.7107) [2 per cell]  2 Pa 2.76, 1 Ir 2.83, 2 Sm 2.91

Output
**DOS at the Fermi energy**: 3.87 states/eV/f.u.
**Uncorrected energy**: -8.11 eV per atom
**Calculated density**: 13.0 g/cm3
**E_form**: -0.420 eV/atom
**Total magnetic moment**: 0.00 μB per formula unit
**Distance to the lowest polymorph of the same formula**: 0.127 eV per atom